Material: Ag6WF12
Method: DFT, GGA+U
State: relaxed

Results
SG: R-3
final energy: -75.72 eV for the cell shown

The structure in POSCAR format:
```
Ag6WF12
1.0
-1.106 -4.451 5.358
6.950 -1.061 -0.553
0.354 5.892 3.861
Ag F W
6 12 1
direct
0.395 0.838 0.642
0.642 0.395 0.838
0.605 0.162 0.358
0.162 0.358 0.605
0.838 0.642 0.395
0.358 0.605 0.162
0.950 0.733 0.011
0.989 0.050 0.267
0.267 0.989 0.050
0.050 0.267 0.989
0.605 0.840 0.388
0.840 0.388 0.605
0.395 0.160 0.612
0.160 0.612 0.395
0.011 0.950 0.733
0.388 0.605 0.840
0.733 0.011 0.950
0.612 0.395 0.160
0.000 0.000 0.000
```